1.
# BaSr2H8Ru | the Alexandria database | PBE-GGA | relaxed
# E (eV/atom): -3.97
# Size of the total moment (μB per atom): 0.00
# D(E_F) (states/eV per atom): 0.000
data_BaSr2H8Ru
_space_group_name_H-M_alt 'P 1'
_space_group_IT_number 1
_cell_length_a 5.211
_cell_length_b 5.211
_cell_length_c 7.247
_cell_angle_alpha 90.00
_cell_angle_beta 90.00
_cell_angle_gamma 120.00
loop_
_space_group_symop_operation_xyz
'x,y,z'
loop_
_atom_site_label
_atom_site_type_symbol
_atom_site_fract_x
_atom_site_fract_y
_atom_site_fract_z
Ba1 Ba 0.000 0.000 0.000
Sr1 Sr 0.333 0.667 0.354
Sr2 Sr 0.667 0.333 0.646
H1 H 0.154 0.308 0.641
H2 H 0.154 0.846 0.641
H3 H 0.308 0.154 0.359
H4 H 0.333 0.667 0.020
H5 H 0.667 0.333 0.980
H6 H 0.692 0.846 0.641
H7 H 0.846 0.154 0.359
H8 H 0.846 0.692 0.359
Ru1 Ru 0.000 0.000 0.500

2.
# Ba2SrH6Ru | the Alexandria database | PBE-GGA | relaxed
# E (eV/atom): -3.93
# Size of the total moment (μB per atom): 0.00
# D(E_F) (states/eV per atom): 0.238
data_Ba2SrH6Ru
_space_group_name_H-M_alt 'P 1'
_space_group_IT_number 1
_cell_length_a 5.675
_cell_length_b 5.675
_cell_length_c 6.612
_cell_angle_alpha 90.00
_cell_angle_beta 90.00
_cell_angle_gamma 120.00
loop_
_space_group_symop_operation_xyz
'x,y,z'
loop_
_atom_site_label
_atom_site_type_symbol
_atom_site_fract_x
_atom_site_fract_y
_atom_site_fract_z
Ba1 Ba 0.333 0.667 0.158
Ba2 Ba 0.667 0.333 0.842
Sr1 Sr 0.000 0.000 0.500
H1 H 0.142 0.285 0.843
H2 H 0.142 0.858 0.843
H3 H 0.285 0.142 0.157
H4 H 0.715 0.858 0.843
H5 H 0.858 0.142 0.157
H6 H 0.858 0.715 0.157
Ru1 Ru 0.000 0.000 0.000